[1]
A plane-wave DFT calculation with PBE-GGA was carried out for crystalline Mg2AlOs at its relaxed geometry.

Cell lengths 6.3822, 6.3822, 6.3822 Å; angles 90.00, 90.00, 90.00 degrees
Last column: nearest neighbours and their distance in Å.
Space group Fm-3m (No. 225)
One atom of each set of equivalent atoms:
Mg  0.2500  0.2500  0.2500  4 Os 2.76, 4 Al 2.76
Al  0.0000  0.0000  0.0000  8 Mg 2.76
Os  0.0000  0.0000  0.5000  8 Mg 2.76

## Properties
Crystal system: cubic
Calculated formation energy, eV/atom: 0.149
Density of states at the Fermi level, states/eV/cell: 7.42
Energy, eV/f.u.: -17.566

=====

[2]
A plane-wave DFT calculation with PBE-GGA was carried out for crystalline AlIn2AgH at its relaxed geometry.

Cell lengths 4.9464, 4.9464, 3.8051 Å; angles 90.00, 90.00, 90.00 degrees
Last column: nearest neighbours and their distance in Å.
Space group P4/mmm (No. 123)
One atom of each set of equivalent atoms:
Al  0.0000  0.0000  0.0000  2 H 1.90
In  0.0000  0.5000  0.5000  2 H 2.47
Ag  0.5000  0.5000  0.0000  8 In 3.12
H  0.0000  0.0000  0.5000  2 Al 1.90

## Properties
Crystal system: tetragonal
Density of states at the Fermi level, states/eV/cell: 1.84
Energy, eV/f.u.: -14.151

=====

[3]
A plane-wave DFT calculation with PBE-GGA was carried out for crystalline YHo3Er2 at its relaxed geometry.

Cell lengths 21.8000, 3.6116, 11.1587 Å; angles 90.00, 120.78, 90.00 degrees
Last column: nearest neighbours and their distance in Å.
Space group C2/m (No. 12)
One atom of each set of equivalent atoms:
Y  0.1107  0.0000  0.4864  5 Er 3.48-3.61, 5 Ho 3.49-3.62, 2 Y 3.61
Ho  0.0551  0.5000  0.1792  9 Ho 3.45-3.61, 1 Er 3.48, 2 Y 3.50
Ho  0.1115  0.0000  0.9860  5 Er 3.47-3.60, 7 Ho 3.47-3.61
Ho  0.2219  0.0000  0.3464  7 Ho 3.47-3.61, 2 Er 3.48, 3 Y 3.49-3.62
Er  0.0559  0.5000  0.6820  3 Ho 3.47-3.48, 4 Y 3.48-3.61, 5 Er 3.51-3.61
Er  0.2222  0.0000  0.8478  5 Ho 3.47-3.60, 6 Er 3.47-3.61, 1 Y 3.48

## Properties
Crystal system: monoclinic
Calculated formation energy, eV/atom: 0.001
Energy above the lowest structure with this stoichiometry, eV per atom: 0.0000
Density of states at the Fermi level, states/eV/cell: 39.31
Energy, eV/f.u.: -29.316

=====

[4]
A plane-wave DFT calculation with PBE-GGA was carried out for crystalline CaNb at its relaxed geometry.

Cell lengths 6.1323, 6.1323, 6.1323 Å; angles 90.00, 90.00, 90.00 degrees
Last column: nearest neighbours and their distance in Å.
Space group Fm-3m (No. 225)
One atom of each set of equivalent atoms:
Ca  0.0000  0.0000  0.0000  6 Nb 3.07
Nb  0.0000  0.0000  0.5000  6 Ca 3.07

## Properties
Crystal system: cubic
Calculated formation energy, eV/atom: 1.758
Energy above the lowest structure with this stoichiometry, eV per atom: 1.4823
Density of states at the Fermi level, states/eV/cell: 10.30
Energy, eV/f.u.: -8.556

=====

[5]
A plane-wave DFT calculation with PBE-GGA was carried out for crystalline DyZnSi2Pd at its relaxed geometry.

Cell lengths 4.0371, 4.0371, 10.4326 Å; angles 90.00, 90.00, 90.00 degrees
Last column: nearest neighbours and their distance in Å.
Space group I-4m2 (No. 119)
One atom of each set of equivalent atoms:
Dy  0.0000  0.0000  0.0000  8 Si 3.08, 4 Pd 3.30, 4 Zn 3.30
Zn  0.0000  0.5000  0.7500  4 Si 2.48
Si  0.0000  0.0000  0.3886  1 Si 2.32, 2 Pd 2.48, 2 Zn 2.48
Pd  0.0000  0.5000  0.2500  4 Si 2.48

## Properties
Formation energy without anion corrections, eV/atom: -0.73
Crystal system: tetragonal
Density of states at the Fermi level, states/eV/cell: 2.30
Energy, eV/f.u.: -25.566

=====

[6]
A plane-wave DFT calculation with PBE-GGA was carried out for crystalline MnBeSi2 at its relaxed geometry.

Cell lengths 7.8742, 3.3213, 3.7494 Å; angles 90.00, 117.39, 90.00 degrees
Last column: nearest neighbours and their distance in Å.
Space group C2/m (No. 12)
One atom of each set of equivalent atoms:
Mn  0.0000  0.0000  0.0000  8 Si 2.44-2.55, 4 Be 2.50
Be  0.0000  0.5000  0.5000  8 Si 2.38-2.62, 4 Mn 2.50
Si  0.2437  0.0000  0.7429  4 Be 2.38-2.62, 4 Mn 2.44-2.55, 4 Si 2.50-2.51

## Properties
Formation energy without anion corrections, eV/atom: -0.05
Crystal system: monoclinic
Density of states at the Fermi level, states/eV/cell: 2.75
Energy, eV/f.u.: -23.936

=====

[7]
A plane-wave DFT calculation with PBE-GGA was carried out for crystalline Na2Li2Mg at its relaxed geometry.

Cell lengths 3.2279, 5.0507, 16.0178 Å; angles 90.00, 90.00, 90.00 degrees
Last column: nearest neighbours and their distance in Å.
Space group Immm (No. 71)
One atom of each set of equivalent atoms:
Na  0.0000  0.0000  0.1946  2 Li 3.09, 2 Na 3.23
Li  0.0000  0.5000  0.0831  1 Li 2.66
Mg  0.0000  0.5000  0.5000  2 Mg 3.23, 8 Li 3.28, 4 Na 3.51

## Properties
Crystal system: orthorhombic
Calculated formation energy, eV/atom: 0.057
Energy above the lowest structure with this stoichiometry, eV per atom: 0.0000
Density of states at the Fermi level, states/eV/cell: 5.25
Energy, eV/f.u.: -7.776

=====

[8]
A plane-wave DFT calculation with PBE-GGA was carried out for crystalline TaVNi5 at its relaxed geometry.

Cell lengths 6.0823, 7.0047, 8.5457 Å; angles 90.00, 109.16, 90.00 degrees
Last column: nearest neighbours and their distance in Å.
Space group C2/c (No. 15)
One atom of each set of equivalent atoms:
Ta  0.2500  0.2500  0.0000  6 Ni 2.43-2.56
V  0.0000  0.2429  0.2500  9 Ni 2.38-2.56
Ni  0.0000  0.0971  0.7500  1 V 2.38, 4 Ni 2.39-2.47, 2 Ta 2.43
Ni  0.1142  0.4408  0.6593  4 Ni 2.40-2.67, 2 V 2.52-2.56, 1 Ta 2.56
Ni  0.1797  0.1019  0.5394  5 Ni 2.39-2.67, 2 V 2.43-2.55, 1 Ta 2.54

## Properties
Crystal system: monoclinic
Calculated formation energy, eV/atom: -0.166
Density of states at the Fermi level, states/eV/cell: 22.23
Energy, eV/f.u.: -51.041

=====

[9]
A plane-wave DFT calculation with PBE-GGA was carried out for crystalline YHoMg6 at its relaxed geometry.

Cell lengths 5.0840, 7.2525, 10.9345 Å; angles 90.00, 90.00, 90.00 degrees
Last column: nearest neighbours and their distance in Å.
Space group Amm2 (No. 38)
One atom of each set of equivalent atoms:
Y  0.0000  0.0000  0.0000  12 Mg 3.26-3.65
Ho  0.5000  0.0000  0.2646  12 Mg 3.26-3.65
Mg  0.0000  0.0000  0.4635  8 Mg 3.09-3.34, 2 Ho 3.35
Mg  0.0000  0.2182  0.7320  7 Mg 3.09-3.35, 2 Y 3.26-3.33, 2 Ho 3.28
Mg  0.5000  0.0000  0.8003  8 Mg 3.09-3.32, 2 Y 3.35
Mg  0.5000  0.2175  0.5327  7 Mg 3.09-3.35, 2 Ho 3.26-3.33, 2 Y 3.28

## Properties
Crystal system: orthorhombic
Calculated formation energy, eV/atom: -0.078
Density of states at the Fermi level, states/eV/cell: 10.46
Energy, eV/f.u.: -21.230

=====

[10]
A plane-wave DFT calculation with PBE-GGA was carried out for crystalline Sr2Al at its relaxed geometry.

Cell lengths 4.0119, 4.0119, 14.2332 Å; angles 90.00, 90.00, 90.00 degrees
Last column: nearest neighbours and their distance in Å.
Space group I4/mmm (No. 139)
One atom of each set of equivalent atoms:
Sr  0.0000  0.0000  0.1327  4 Al 3.41, 1 Sr 3.78
Al  0.0000  0.0000  0.5000  8 Sr 3.41

## Properties
Crystal system: tetragonal
Calculated formation energy, eV/atom: -0.082
Density of states at the Fermi level, states/eV/cell: 5.57
Energy, eV/f.u.: -7.353

=====

[11]
A plane-wave DFT calculation with PBE-GGA was carried out for crystalline GdErMn2 at its relaxed geometry.

Cell lengths 5.0331, 5.0331, 3.4109 Å; angles 90.00, 90.00, 90.00 degrees
Last column: nearest neighbours and their distance in Å.
Space group P4/mmm (No. 123)
One atom of each set of equivalent atoms:
Gd  0.0000  0.0000  0.0000  8 Mn 3.04
Er  0.5000  0.5000  0.0000  8 Mn 3.04
Mn  0.0000  0.5000  0.5000  4 Gd 3.04, 4 Er 3.04

## Properties
Crystal system: tetragonal
Calculated formation energy, eV/atom: 0.178
Energy above the lowest structure with this stoichiometry, eV per atom: 0.0000
Density of states at the Fermi level, states/eV/cell: 4.80
Energy, eV/f.u.: -36.271

=====

Copy entry 1 word for word.
A plane-wave DFT calculation with PBE-GGA was carried out for crystalline Mg2AlOs at its relaxed geometry.

Cell lengths 6.3822, 6.3822, 6.3822 Å; angles 90.00, 90.00, 90.00 degrees
Last column: nearest neighbours and their distance in Å.
Space group Fm-3m (No. 225)
One atom of each set of equivalent atoms:
Mg  0.2500  0.2500  0.2500  4 Os 2.76, 4 Al 2.76
Al  0.0000  0.0000  0.0000  8 Mg 2.76
Os  0.0000  0.0000  0.5000  8 Mg 2.76

## Properties
Crystal system: cubic
Calculated formation energy, eV/atom: 0.149
Density of states at the Fermi level, states/eV/cell: 7.42
Energy, eV/f.u.: -17.566

=====

Question: energy of number 2 (AlIn2AgH)?
Answer: -14.151 eV/f.u.